No. 1
This record from the Alexandria database describes a relaxed NaZnGaF6 crystal. The functional is PBE-GGA.

a b c (Å): 5.2976 5.2976 9.8484
angles (deg): 90.00 90.00 120.00
Space group P-31c (No. 163)
Symmetry-distinct sites (fractional):
Na  0.0000  0.0000  0.0000 (multiplicity 2)
Zn  0.3333  0.6667  0.2500 (multiplicity 2)
Ga  0.3333  0.6667  0.7500 (multiplicity 2)
F  0.0200  0.3740  0.6416 (multiplicity 12)

Formation energy without anion corrections   -2.597 eV per atom
Total energy   -4.469 eV/atom
Magnetization   0.0 μB/cell

=====

No. 2
This record from the Alexandria database describes a relaxed NaZn2GaF8 crystal. The functional is PBE-GGA.

a b c (Å): 4.799 6.455 4.819
angles (deg): 90.00 90.96 90.00
Space group P2/m (No. 10)
Symmetry-distinct sites (fractional):
Na  0.000  0.000  0.000 (multiplicity 1)
Zn  0.500  0.246  0.500 (multiplicity 2)
Ga  0.000  0.500  0.000 (multiplicity 1)
F  0.198  0.288  0.194 (multiplicity 4)
F  0.290  0.500  0.706 (multiplicity 2)
F  0.315  0.000  0.680 (multiplicity 2)

Formation energy without anion corrections   -2.500 eV per atom
Total energy   -4.322 eV/atom
Magnetization   0.0 μB/cell

=====

- The lowest total energy belongs to which entry?
  NaZnGaF6

=====

- Look up the formation energy without anion corrections of the second one.
  -2.500 eV per atom